This record from Alexandria describes a crystal of TaCrHg2Pt relaxed with PBEsol. The functional is meta-GGA SCAN.

Computed properties:
Density of states at the Fermi level (states/eV/atom): 0.719
Size of the total moment (Bohr magnetons per cell): 4.61
Total DFT energy (no corrections) (Ry per atom): -4.2144

Cell lengths 5.2387, 5.2387, 4.8129 Å; angles 90.00, 90.00, 90.00 degrees
Element x y z (fractional)
Ta 0.0000 0.0000 0.0000
Cr 0.5000 0.5000 0.5000
Hg 0.0000 0.5000 0.0000
Hg 0.5000 0.0000 0.0000
Pt 0.0000 0.0000 0.5000